No. 1
## CaZr3Rh (PBE)

Data for a relaxed structure of CaZr3Rh.

Summary:
The crystal system is cubic. The value obtained for the polymorph energy (0 for the lowest one) is 1591.0 meV per atom. The spin magnetization is 0.000 μB/f.u. The calculated total energy comes out at -5.267 eV per atom. The calculation puts the formation energy from the elements at 1.73 eV per atom.

The structure in POSCAR format:
```
CaZr3Rh
1.0
4.910 0.000 0.000
0.000 4.910 0.000
0.000 0.000 4.910
Ca Zr Rh
1 3 1
Direct
0.000 0.000 0.000 Ca
0.000 0.000 0.500 Zr
0.000 0.500 0.000 Zr
0.500 0.000 0.000 Zr
0.500 0.500 0.500 Rh
```

No. 2
## YHoCdTc (PBE)

Data for a relaxed structure of YHoCdTc.

Summary:
The crystal system is cubic. The spin magnetization is 0.000 μB/f.u. The calculated total energy comes out at -5.680 eV per atom. The calculation puts the formation energy from the elements at -0.10 eV per atom.

The structure in POSCAR format:
```
YHoCdTc
1.0
0.000 3.562 3.562
3.562 0.000 3.562
3.562 3.562 0.000
Y Ho Cd Tc
1 1 1 1
Direct
0.000 0.000 0.000 Y
0.500 0.500 0.500 Ho
0.250 0.250 0.250 Cd
0.750 0.750 0.750 Tc
```

No. 3
## HfZr2SnC (PBE)

Data for a relaxed structure of HfZr2SnC.

Summary:
The crystal system is tetragonal. The spin magnetization is 0.000 μB/f.u. The calculated total energy comes out at -8.567 eV per atom. The calculation puts the formation energy from the elements at -0.51 eV per atom.

The structure in POSCAR format:
```
HfZr2SnC
1.0
4.625 0.000 0.000
0.000 4.625 0.000
0.000 0.000 4.440
Hf Zr Sn C
1 2 1 1
Direct
0.000 0.000 0.000 Hf
0.000 0.500 0.500 Zr
0.500 0.000 0.500 Zr
0.500 0.500 0.000 Sn
0.000 0.000 0.500 C
```

No. 4
## ScSb2 (PBE)

Data for a relaxed structure of ScSb2.

Summary:
The crystal system is orthorhombic. The spin magnetization is 0.000 μB/f.u. The calculated total energy comes out at -5.339 eV per atom.

The structure in POSCAR format:
```
ScSb2
1.0
2.029 -7.775 0.000
2.029 7.775 0.000
0.000 0.000 4.690
Sc Sb
2 4
Direct
0.100 0.900 0.750 Sc
0.900 0.100 0.250 Sc
0.251 0.749 0.250 Sb
0.438 0.562 0.750 Sb
0.562 0.438 0.250 Sb
0.749 0.251 0.750 Sb
```

How do the records compare in density? In the order shown, they have 5.844; 8.531; 8.599; 6.476 g/cm³.